Entry from Alexandria via LeMat-Bulk: an optimized crystal structure of HoTiGa2 (PBE).

It has space group P4/mmm (No. 123), with a = 4.361 Å, b = 4.361 Å, c = 4.064 Å, α = 90.00°, β = 90.00° and γ = 90.00°. The distinct sites, in fractional coordinates, are Ho at (0.000, 0.000, 0.000), Ti at (0.500, 0.500, 0.000) and Ga at (0.000, 0.500, 0.500).

The spin magnetization is 1.33 Bohr magnetons per cell. For the excess energy over the best structure of this formula in the dataset, the calculation gives 60.2 meV per atom.